The following is a PBE-GGA calculation of crystalline Nd12PtAu6 at its relaxed geometry, from Alexandria.

a b c (Å): 8.667 8.667 8.667
angles (deg): 99.10 99.10 99.10
Element x y z (fractional)
Nd (0.578, 0.181, 0.426)
Nd (0.181, 0.426, 0.578)
Nd (0.069, 0.954, 0.320)
Nd (0.954, 0.320, 0.069)
Au (0.867, 0.379, 0.694)
Au (0.621, 0.306, 0.133)
Au (0.379, 0.694, 0.867)
Nd (0.931, 0.046, 0.680)
Nd (0.819, 0.574, 0.422)
Nd (0.574, 0.422, 0.819)
Nd (0.680, 0.931, 0.046)
Nd (0.426, 0.578, 0.181)
Nd (0.422, 0.819, 0.574)
Nd (0.320, 0.069, 0.954)
Au (0.306, 0.133, 0.621)
Au (0.133, 0.621, 0.306)
Pt (0.000, 0.000, 0.000)
Nd (0.046, 0.680, 0.931)
Au (0.694, 0.867, 0.379)

Space-group type: No. 148
DOS(E_F) (states/eV per atom): 1.193
ΔE_f (eV/atom): -0.485
Crystal system: trigonal


The following is a PBE-GGA calculation of crystalline Nd7Pt2Au2 at its relaxed geometry, from Alexandria.

a b c (Å): 6.924 7.320 6.924
angles (deg): 90.00 107.90 90.00
Element x y z (fractional)
Nd (0.500, 0.257, 0.500)
Pt (0.288, 0.000, 0.712)
Nd (0.000, 0.736, 0.500)
Au (0.184, 0.500, 0.184)
Nd (0.500, 0.736, 0.000)
Nd (0.500, 0.743, 0.500)
Nd (0.000, 0.000, 0.000)
Au (0.816, 0.500, 0.816)
Nd (0.000, 0.264, 0.500)
Nd (0.500, 0.264, 0.000)
Pt (0.712, 0.000, 0.288)

Space-group type: No. 65
DOS(E_F) (states/eV per atom): 1.260
ΔE_f (eV/atom): -0.546
Crystal system: orthorhombic


The following is a PBE-GGA calculation of crystalline Nd2Pt2Au at its relaxed geometry, from Alexandria.

a b c (Å): 3.827 7.812 7.812
angles (deg): 90.00 90.00 90.00
Element x y z (fractional)
Au (0.000, 0.000, 0.000)
Au (0.000, 0.500, 0.500)
Pt (0.000, 0.130, 0.370)
Nd (0.500, 0.172, 0.672)
Nd (0.500, 0.828, 0.328)
Nd (0.500, 0.328, 0.172)
Pt (0.000, 0.870, 0.630)
Pt (0.000, 0.630, 0.130)
Pt (0.000, 0.370, 0.870)
Nd (0.500, 0.672, 0.828)

Space-group type: No. 127
DOS(E_F) (states/eV per atom): 0.563
ΔE_f (eV/atom): -1.009
Crystal system: tetragonal


The following is a PBE-GGA calculation of crystalline NdPtAu2 at its relaxed geometry, from Alexandria.

a b c (Å): 5.285 5.303 7.387
angles (deg): 68.96 80.47 62.52
Element x y z (fractional)
Nd (0.750, 0.865, 0.269)
Pt (0.250, 0.750, 0.500)
Au (0.598, 0.399, 0.844)
Au (0.098, 0.242, 0.156)
Nd (0.250, 0.135, 0.731)
Au (0.402, 0.601, 0.156)
Pt (0.750, 0.250, 0.500)
Au (0.902, 0.758, 0.844)

Space-group type: No. 15
DOS(E_F) (states/eV per atom): 0.380
ΔE_f (eV/atom): -0.755
Crystal system: monoclinic


The following is a PBE-GGA calculation of crystalline NdPtAu2 at its relaxed geometry, from Alexandria.

a b c (Å): 4.849 4.142 4.142
angles (deg): 90.00 90.00 90.00
Element x y z (fractional)
Au (0.000, 0.000, 0.500)
Pt (0.500, 0.000, 0.000)
Nd (0.500, 0.500, 0.500)
Au (0.000, 0.500, 0.000)

Space-group type: No. 123
DOS(E_F) (states/eV per atom): 0.521
ΔE_f (eV/atom): -0.577
Crystal system: tetragonal


The following is a PBE-GGA calculation of crystalline NdPt4Au2 at its relaxed geometry, from Alexandria.

a b c (Å): 5.429 5.625 5.625
angles (deg): 76.24 60.96 60.96
Element x y z (fractional)
Pt (0.695, 0.000, 0.610)
Au (0.250, 0.500, 0.500)
Nd (0.000, 0.000, 0.000)
Pt (0.305, 0.000, 0.390)
Au (0.750, 0.500, 0.500)
Pt (0.305, 0.390, 0.000)
Pt (0.695, 0.610, 0.000)

Space-group type: No. 12
DOS(E_F) (states/eV per atom): 0.964
ΔE_f (eV/atom): -0.418
Crystal system: monoclinic


The following is a PBE-GGA calculation of crystalline Nd4PtAu3 at its relaxed geometry, from Alexandria.

a b c (Å): 3.928 4.743 11.178
angles (deg): 90.00 90.00 90.00
Element x y z (fractional)
Nd (0.000, 0.000, 0.136)
Au (0.000, 0.000, 0.413)
Nd (0.500, 0.500, 0.354)
Au (0.000, 0.500, 0.586)
Nd (0.500, 0.000, 0.638)
Au (0.500, 0.000, 0.914)
Pt (0.500, 0.500, 0.087)
Nd (0.000, 0.500, 0.871)

Space-group type: No. 25
DOS(E_F) (states/eV per atom): 0.724
ΔE_f (eV/atom): -0.893
Crystal system: orthorhombic


The following is a PBE-GGA calculation of crystalline Nd3Pt7Au2 at its relaxed geometry, from Alexandria.

a b c (Å): 5.523 5.523 9.540
angles (deg): 73.17 73.17 60.00
Element x y z (fractional)
Pt (0.588, 0.082, 0.742)
Pt (0.918, 0.412, 0.258)
Nd (0.860, 0.860, 0.419)
Pt (0.412, 0.412, 0.258)
Pt (0.082, 0.588, 0.742)
Pt (0.500, 0.500, 0.500)
Pt (0.412, 0.918, 0.258)
Au (0.333, 0.333, 0.000)
Pt (0.588, 0.588, 0.742)
Nd (0.000, 0.000, 0.000)
Nd (0.140, 0.140, 0.581)
Au (0.667, 0.667, 0.000)

Space-group type: No. 166
DOS(E_F) (states/eV per atom): 0.622
ΔE_f (eV/atom): -0.864
Crystal system: trigonal


The following is a PBE-GGA calculation of crystalline Nd2Pt5Au5 at its relaxed geometry, from Alexandria.

a b c (Å): 4.557 5.525 9.538
angles (deg): 90.00 90.00 90.00
Element x y z (fractional)
Au (0.000, 0.000, 0.828)
Au (0.000, 0.000, 0.172)
Au (0.500, 0.000, 0.000)
Nd (0.000, 0.000, 0.500)
Au (0.000, 0.500, 0.331)
Pt (0.500, 0.250, 0.747)
Pt (0.500, 0.750, 0.747)
Pt (0.500, 0.500, 0.500)
Pt (0.500, 0.750, 0.253)
Nd (0.000, 0.500, 0.000)
Au (0.000, 0.500, 0.669)
Pt (0.500, 0.250, 0.253)

Space-group type: No. 47
DOS(E_F) (states/eV per atom): 0.654
ΔE_f (eV/atom): -0.547
Crystal system: orthorhombic


The following is a PBE-GGA calculation of crystalline Nd5Pt2Au at its relaxed geometry, from Alexandria.

a b c (Å): 8.069 8.069 8.821
angles (deg): 117.22 117.22 90.00
Element x y z (fractional)
Nd (0.977, 0.477, 0.281)
Nd (0.477, 0.304, 0.281)
Nd (0.696, 0.196, 0.719)
Nd (0.523, 0.696, 0.719)
Pt (0.368, 0.868, 0.000)
Pt (0.632, 0.132, 0.000)
Nd (0.500, 0.500, 0.000)
Nd (0.304, 0.804, 0.281)
Nd (0.804, 0.977, 0.281)
Pt (0.868, 0.632, 0.000)
Nd (0.000, 0.000, 0.000)
Au (0.750, 0.750, 0.500)
Nd (0.196, 0.023, 0.719)
Pt (0.132, 0.368, 0.000)
Au (0.250, 0.250, 0.500)
Nd (0.023, 0.523, 0.719)

Space-group type: No. 140
DOS(E_F) (states/eV per atom): 1.002
ΔE_f (eV/atom): -0.790
Crystal system: tetragonal


The following is a PBE-GGA calculation of crystalline Nd2Pt3Au at its relaxed geometry, from Alexandria.

a b c (Å): 6.131 6.131 8.397
angles (deg): 106.05 106.05 104.05
Element x y z (fractional)
Pt (0.844, 0.844, 0.688)
Pt (0.161, 0.663, 0.824)
Au (0.665, 0.665, 0.329)
Nd (0.247, 0.247, 0.000)
Pt (0.156, 0.156, 0.312)
Pt (0.337, 0.839, 0.176)
Pt (0.663, 0.161, 0.824)
Au (0.335, 0.335, 0.671)
Nd (0.753, 0.753, 0.000)
Nd (0.250, 0.750, 0.500)
Pt (0.839, 0.337, 0.176)
Nd (0.750, 0.250, 0.500)

Space-group type: No. 69
DOS(E_F) (states/eV per atom): 0.629
ΔE_f (eV/atom): -0.878
Crystal system: orthorhombic


The following is a PBE-GGA calculation of crystalline NdPu2Pt2Au at its relaxed geometry, from Alexandria.

a b c (Å): 5.087 5.087 6.153
angles (deg): 90.00 90.00 120.00
Each line ends with the local moment (μB).
Element x y z (fractional)
Pt (0.667, 0.333, 0.810)  -0.06
Pt (0.333, 0.667, 0.190)  -0.06
Au (0.000, 0.000, 0.500)  0.04
Nd (0.000, 0.000, 0.000)  0.14
Pu (0.333, 0.667, 0.686)  5.30
Pu (0.667, 0.333, 0.314)  5.30

Space-group type: No. 164
DOS(E_F) (states/eV per atom): 3.772
ΔE_f (eV/atom): -0.710
Crystal system: trigonal


Number 5 is which compound? NdPtAu2


What is the DOS(E_F) in the fourth record? 0.380 states/eV per atom